Record 1
Density functional theory data (PBEsol) for crystalline Ag7Pb3O9 at its relaxed geometry.

Summary:
Formation energy from raw total energies ... -465 meV per atom
N(E_F) ... 3.0 states/eV per cell
Space-group type ... No. 12
Uncorrected energy ... -4.80 eV/atom

Cell: 8.663 8.663 8.738 Å, 72.03 72.03 71.54°
Positions (direct):
Ag 0.500 0.000 0.000
Ag 0.659 0.173 0.668
Ag 0.163 0.163 0.173
Ag 0.341 0.827 0.332
Ag 0.255 0.255 0.766
Ag 0.072 0.072 0.578
Ag 0.928 0.928 0.422
Ag 0.745 0.745 0.234
Ag 0.588 0.588 0.102
Ag 0.412 0.412 0.898
Ag 0.837 0.837 0.827
Ag 0.000 0.500 0.000
Ag 0.173 0.659 0.668
Ag 0.827 0.341 0.332
Pb 0.498 0.171 0.336
Pb 0.830 0.170 0.000
Pb 0.502 0.829 0.664
Pb 0.170 0.830 0.000
Pb 0.829 0.502 0.664
Pb 0.171 0.498 0.336
O 0.556 0.187 0.063
O 0.772 0.151 0.273
O 0.444 0.813 0.937
O 0.477 0.106 0.608
O 0.105 0.105 0.985
O 0.223 0.223 0.358
O 0.849 0.228 0.727
O 0.523 0.894 0.392
O 0.895 0.895 0.015
O 0.439 0.439 0.312
O 0.777 0.777 0.642
O 0.813 0.444 0.937
O 0.151 0.772 0.273
O 0.561 0.561 0.688
O 0.187 0.556 0.063
O 0.894 0.523 0.392
O 0.228 0.849 0.727
O 0.106 0.477 0.608



Record 2
Density functional theory data (PBEsol) for crystalline Ag5Pb2O6 at its relaxed geometry.

Summary:
Formation energy from raw total energies ... -465 meV per atom
N(E_F) ... 1.3 states/eV per cell
Space-group type ... No. 162
Uncorrected energy ... -4.78 eV/atom

Cell: 5.912 5.912 6.426 Å, 90.00 90.00 120.00°
Positions (direct):
Ag 0.000 0.000 0.780
Ag 0.000 0.500 0.000
Ag 0.500 0.500 0.000
Ag 0.000 0.000 0.220
Ag 0.500 0.000 0.000
Pb 0.333 0.667 0.500
Pb 0.667 0.333 0.500
O 0.375 0.000 0.695
O 0.625 0.000 0.305
O 0.000 0.625 0.305
O 0.375 0.375 0.305
O 0.000 0.375 0.695
O 0.625 0.625 0.695



Record 3
Density functional theory data (PBEsol) for crystalline AgPbO2 at its relaxed geometry.

Summary:
Formation energy from raw total energies ... -613 meV per atom
N(E_F) ... 1.3 states/eV per cell
Space-group type ... No. 12
Uncorrected energy ... -5.07 eV/atom

Cell: 3.482 6.401 6.637 Å, 98.38 105.21 90.00°
Positions (direct):
Ag 0.250 0.192 0.500
Ag 0.750 0.808 0.500
Pb 0.500 0.000 0.000
Pb 0.000 0.500 0.000
O 0.089 0.172 0.177
O 0.589 0.740 0.178
O 0.411 0.260 0.822
O 0.911 0.828 0.823



Record 4
Density functional theory data (PBEsol) for crystalline AgPdO2 at its relaxed geometry.

Summary:
Formation energy from raw total energies ... -316 meV per atom
N(E_F) ... 1.8 states/eV per cell
Space-group type ... No. 47
Uncorrected energy ... -5.26 eV/atom

Cell: 2.989 3.326 5.377 Å, 90.00 90.00 90.00°
Positions (direct):
Ag 0.500 0.500 0.500
Pd 0.000 0.000 0.000
O 0.500 0.000 0.246
O 0.500 0.000 0.754



Record 5
Density functional theory data (PBEsol) for crystalline AgPdO2 at its relaxed geometry.

Summary:
Formation energy from raw total energies ... -338 meV per atom
N(E_F) ... 0.8 states/eV per cell
Space-group type ... No. 10
Uncorrected energy ... -5.28 eV/atom

Cell: 3.017 6.145 6.314 Å, 117.73 90.00 90.00°
Positions (direct):
O 0.500 0.904 0.765
O 0.000 0.241 0.640
O 0.000 0.759 0.360
O 0.500 0.096 0.235
Pd 0.500 0.000 0.500
Pd 0.000 0.000 0.000
Ag 0.000 0.500 0.000
Ag 0.000 0.500 0.500



Record 6
Density functional theory data (PBEsol) for crystalline AgPdSeO2 at its relaxed geometry.

Summary:
Formation energy from raw total energies ... 200 meV per atom
N(E_F) ... 4.7 states/eV per cell
Space-group type ... No. 123
Uncorrected energy ... -4.52 eV/atom

Cell: 3.724 3.724 5.936 Å, 90.00 90.00 90.00°
Positions (direct):
O 0.000 0.500 0.000
O 0.500 0.000 0.000
Se 0.500 0.500 0.500
Pd 0.000 0.000 0.000
Ag 0.000 0.000 0.500



Record 7
Density functional theory data (PBEsol) for crystalline PrAgW2O8 at its relaxed geometry.

Summary:
Formation energy from raw total energies ... -2209 meV per atom
N(E_F) ... 0.0 states/eV per cell
Space-group type ... No. 12
Uncorrected energy ... -8.72 eV/atom

Cell: 7.300 7.504 7.504 Å, 94.40 114.95 114.95°
Positions (direct):
Pr 0.000 0.304 0.696
Pr 0.000 0.696 0.304
Ag 0.518 0.697 0.697
Ag 0.482 0.303 0.303
W 0.978 0.213 0.213
W 0.022 0.787 0.787
W 0.500 0.161 0.839
W 0.500 0.839 0.161
O 0.760 0.103 0.343
O 0.240 0.897 0.657
O 0.240 0.657 0.897
O 0.760 0.343 0.103
O 0.638 0.208 0.687
O 0.362 0.792 0.313
O 0.362 0.313 0.792
O 0.638 0.687 0.208
O 0.903 0.949 0.697
O 0.097 0.051 0.303
O 0.097 0.303 0.051
O 0.903 0.697 0.949
O 0.663 0.980 0.980
O 0.337 0.020 0.020
O 0.852 0.555 0.555
O 0.148 0.445 0.445



Record 8
Density functional theory data (PBEsol) for crystalline Ag3PtO at its relaxed geometry.

Summary:
Formation energy from raw total energies ... 292 meV per atom
N(E_F) ... 1.6 states/eV per cell
Space-group type ... No. 221
Uncorrected energy ... -4.14 eV/atom

Cell: 4.263 4.263 4.263 Å, 90.00 90.00 90.00°
Positions (direct):
O 0.000 0.000 0.000
Ag 0.000 0.500 0.000
Ag 0.000 0.000 0.500
Ag 0.500 0.000 0.000
Pt 0.500 0.500 0.500



Record 9
Density functional theory data (PBEsol) for crystalline AgPtO2 at its relaxed geometry.

Summary:
Formation energy from raw total energies ... -323 meV per atom
N(E_F) ... 0.1 states/eV per cell
Space-group type ... No. 10
Uncorrected energy ... -5.52 eV/atom

Cell: 3.094 6.185 6.330 Å, 118.06 90.00 90.00°
Positions (direct):
O 0.000 0.237 0.633
O 0.500 0.913 0.770
O 0.500 0.087 0.230
O 0.000 0.763 0.367
Ag 0.000 0.500 0.000
Ag 0.000 0.500 0.500
Pt 0.500 0.000 0.500
Pt 0.000 0.000 0.000



Record 10
Density functional theory data (PBEsol) for crystalline AgPtO2 at its relaxed geometry.

Summary:
Formation energy from raw total energies ... -315 meV per atom
N(E_F) ... 0.2 states/eV per cell
Space-group type ... No. 12
Uncorrected energy ... -5.51 eV/atom

Cell: 3.075 5.512 6.388 Å, 94.80 90.00 106.20°
Positions (direct):
O 0.316 0.633 0.871
O 0.567 0.135 0.750
O 0.433 0.865 0.250
O 0.684 0.367 0.129
Ag 0.360 0.721 0.551
Ag 0.640 0.279 0.449
Pt 0.884 0.769 0.057
Pt 0.116 0.231 0.943



Record 11
Density functional theory data (PBEsol) for crystalline Rb2Ag2O at its relaxed geometry.

Summary:
Formation energy from raw total energies ... -247 meV per atom
N(E_F) ... 3.0 states/eV per cell
Space-group type ... No. 139
Uncorrected energy ... -3.03 eV/atom

Cell: 3.680 3.680 9.957 Å, 100.65 100.65 90.00°
Site moments in Bohr magnetons follow the coordinates.
Positions (direct):
O 0.000 0.000 0.000  0.35
Rb 0.420 0.420 0.840  0.00
Rb 0.580 0.580 0.160  0.00
Ag 0.250 0.750 0.500  0.00
Ag 0.750 0.250 0.500  0.00



Record 12
Density functional theory data (PBEsol) for crystalline RbAgSb2O at its relaxed geometry.

Summary:
Formation energy from raw total energies ... 1237 meV per atom
N(E_F) ... 4.5 states/eV per cell
Space-group type ... No. 123
Uncorrected energy ... -2.50 eV/atom

Cell: 4.035 5.999 5.999 Å, 90.00 90.00 90.00°
Positions (direct):
O 0.500 0.000 0.000
Sb 0.000 0.000 0.500
Sb 0.000 0.500 0.000
Rb 0.000 0.000 0.000
Ag 0.500 0.500 0.500